This record from the Alexandria database describes MoAsP3 at its PBEsol-relaxed geometry. The functional is meta-GGA SCAN.

Unit cell a=4.620 b=4.620 c=4.620 alpha=90.00 beta=90.00 gamma=90.00
Fractional positions:
Mo (0.000, 0.000, 0.000)
As (0.500, 0.500, 0.500)
P (0.000, 0.000, 0.500)
P (0.000, 0.500, 0.000)
P (0.500, 0.000, 0.000)

Summary:
Total magnetization (μB per formula unit): 0.67
E_form (meV per atom): 769
D(E_F) (states/eV/cell): 2.23

This record from the Alexandria database describes MoAsPSe2 at its PBEsol-relaxed geometry. The functional is meta-GGA SCAN.

Unit cell a=4.646 b=4.646 c=4.680 alpha=90.00 beta=90.00 gamma=90.00
Fractional positions:
Mo (0.000, 0.000, 0.000)
As (0.500, 0.500, 0.000)
P (0.500, 0.500, 0.500)
Se (0.000, 0.500, 0.500)
Se (0.500, 0.000, 0.500)

Summary:
Total magnetization (μB per formula unit): 2.69
Formation energy (no corrections) (kJ per mole of atoms): 91.24
D(E_F) (states/eV/cell): 2.52

This record from the Alexandria database describes Mo2AsPb at its PBEsol-relaxed geometry. The functional is meta-GGA SCAN.

Unit cell a=3.260 b=4.312 c=5.051 alpha=90.00 beta=90.00 gamma=90.00
Fractional positions:
Mo (0.000, 0.000, 0.000)
Mo (0.500, 0.000, 0.500)
As (0.000, 0.500, 0.500)
Pb (0.500, 0.500, 0.000)

Summary:
Total magnetization (μB per formula unit): 0.00
E_form (meV per atom): 772
D(E_F) (states/eV/cell): 3.89

This record from the Alexandria database describes Mo2AsPb at its PBEsol-relaxed geometry. The functional is meta-GGA SCAN.

Unit cell a=3.107 b=4.626 c=5.251 alpha=90.00 beta=107.11 gamma=90.00
Fractional positions:
Mo (0.000, 0.000, 0.000)
Mo (0.391, 0.500, 0.791)
As (0.299, 0.000, 0.596)
Pb (0.658, 0.500, 0.315)

Summary:
Total magnetization (μB per formula unit): 0.00
E_form (meV per atom): 433
D(E_F) (states/eV/cell): 3.11

This record from the Alexandria database describes MoAsPb at its PBEsol-relaxed geometry. The functional is meta-GGA SCAN.

Unit cell a=3.518 b=4.879 c=14.929 alpha=90.00 beta=90.00 gamma=90.00
Fractional positions:
Mo (0.000, 0.000, 0.000)
Mo (0.000, 0.500, 0.500)
Mo (0.500, 0.000, 0.500)
Mo (0.500, 0.500, 0.000)
As (0.000, 0.000, 0.618)
As (0.000, 0.500, 0.118)
As (0.500, 0.000, 0.118)
As (0.500, 0.500, 0.618)
Pb (0.000, 0.000, 0.339)
Pb (0.000, 0.500, 0.839)
Pb (0.500, 0.000, 0.839)
Pb (0.500, 0.500, 0.339)

Summary:
Total magnetization (μB per formula unit): 0.00
E_form (meV per atom): 356
D(E_F) (states/eV/cell): 6.73

This record from the Alexandria database describes MoAs2Pb at its PBEsol-relaxed geometry. The functional is meta-GGA SCAN.

Unit cell a=3.497 b=5.027 c=9.362 alpha=90.00 beta=90.00 gamma=90.00
Fractional positions:
Mo (0.000, 0.000, 0.000)
Mo (0.500, 0.500, 0.000)
As (0.000, 0.500, 0.195)
As (0.000, 0.500, 0.805)
As (0.500, 0.000, 0.195)
As (0.500, 0.000, 0.805)
Pb (0.000, 0.000, 0.500)
Pb (0.500, 0.500, 0.500)

Summary:
Total magnetization (μB per formula unit): 0.00
E_form (meV per atom): 254
D(E_F) (states/eV/cell): 6.30

This record from the Alexandria database describes Mo2AsPb at its PBEsol-relaxed geometry. The functional is meta-GGA SCAN.

Unit cell a=3.376 b=4.742 c=9.704 alpha=90.00 beta=90.00 gamma=90.00
Fractional positions:
Mo (0.000, 0.000, 0.000)
Mo (0.000, 0.500, 0.206)
Mo (0.500, 0.000, 0.206)
Mo (0.500, 0.500, 0.000)
As (0.000, 0.000, 0.407)
As (0.500, 0.500, 0.407)
Pb (0.000, 0.500, 0.745)
Pb (0.500, 0.000, 0.745)

Summary:
Total magnetization (μB per formula unit): 0.00
E_form (meV per atom): 335
D(E_F) (states/eV/cell): 4.14

This record from the Alexandria database describes Mo2AsPb at its PBEsol-relaxed geometry. The functional is meta-GGA SCAN.

Unit cell a=3.288 b=5.172 c=8.386 alpha=90.00 beta=90.00 gamma=90.00
Fractional positions:
Mo (0.000, 0.000, 0.219)
Mo (0.000, 0.000, 0.781)
Mo (0.500, 0.500, 0.219)
Mo (0.500, 0.500, 0.781)
As (0.000, 0.500, 0.000)
As (0.500, 0.000, 0.000)
Pb (0.000, 0.500, 0.500)
Pb (0.500, 0.000, 0.500)

Summary:
Total magnetization (μB per formula unit): 0.00
E_form (meV per atom): 609
D(E_F) (states/eV/cell): 6.96

This record from the Alexandria database describes Mo2AsPdPb at its PBEsol-relaxed geometry. The functional is meta-GGA SCAN.

Unit cell a=4.896 b=4.896 c=4.928 alpha=90.00 beta=90.00 gamma=90.00
Fractional positions:
Mo (0.000, 0.500, 0.000)
Mo (0.500, 0.000, 0.000)
As (0.000, 0.000, 0.500)
Pd (0.500, 0.500, 0.000)
Pb (0.500, 0.500, 0.500)

Summary:
Total magnetization (μB per formula unit): 6.21
E_form (meV per atom): 1532
D(E_F) (states/eV/cell): 3.52

This record from the Alexandria database describes TeMoAs2Pb at its PBEsol-relaxed geometry. The functional is meta-GGA SCAN.

Unit cell a=5.213 b=5.213 c=5.688 alpha=90.00 beta=90.00 gamma=90.00
Fractional positions:
Te (0.000, 0.000, 0.000)
Mo (0.500, 0.500, 0.500)
As (0.000, 0.500, 0.000)
As (0.500, 0.000, 0.000)
Pb (0.000, 0.000, 0.500)

Summary:
Total magnetization (μB per formula unit): 4.16
Formation energy (no corrections) (kJ per mole of atoms): 144.18
D(E_F) (states/eV/cell): 2.90

This record from the Alexandria database describes YMoAs2Pb at its PBEsol-relaxed geometry. The functional is meta-GGA SCAN.

Unit cell a=5.286 b=5.286 c=5.578 alpha=90.00 beta=90.00 gamma=90.00
Fractional positions:
Y (0.000, 0.000, 0.000)
Mo (0.500, 0.500, 0.000)
As (0.000, 0.500, 0.500)
As (0.500, 0.000, 0.500)
Pb (0.000, 0.000, 0.500)

Summary:
Total magnetization (μB per formula unit): 4.52
E_form (meV per atom): 1349
D(E_F) (states/eV/cell): 2.79

This record from the Alexandria database describes ReMoAsPd2 at its PBEsol-relaxed geometry. The functional is meta-GGA SCAN.

Unit cell a=4.769 b=4.769 c=4.588 alpha=90.00 beta=90.00 gamma=90.00
Fractional positions:
Re (0.000, 0.000, 0.000)
Mo (0.500, 0.500, 0.500)
As (0.000, 0.000, 0.500)
Pd (0.000, 0.500, 0.000)
Pd (0.500, 0.000, 0.000)

Summary:
Total magnetization (μB per formula unit): 3.90
E_form (meV per atom): 1324
D(E_F) (states/eV/cell): 3.20